# PBE-GGA Ce3Si8Ru3, optimized geometry
# - Spin magnetization: 0.1 μB/f.u.
# - DOS(E_F): 12.15 states/eV/f.u.
# - Raw total energy: -6.950 eV/atom
# - V: 16.88 A^3/atom
data_Ce3Si8Ru3
_chemical_formula_sum 'Ce3 Si8 Ru3'
_symmetry_space_group_name_H-M 'P 1'
_symmetry_Int_Tables_number 1
_cell_length_a 4.132
_cell_length_b 7.881
_cell_length_c 7.881
_cell_angle_alpha 77.93
_cell_angle_beta 74.80
_cell_angle_gamma 74.80
loop_
_symmetry_equiv_pos_as_xyz
'x,y,z'
loop_
_atom_site_label
_atom_site_fract_x
_atom_site_fract_y
_atom_site_fract_z
Ce1 0.500 0.500 0.500
Ce2 0.813 0.187 0.187
Ce3 0.187 0.813 0.813
Si1 0.622 0.092 0.663
Si2 0.378 0.908 0.337
Si3 0.622 0.663 0.092
Si4 0.378 0.337 0.908
Si5 0.836 0.799 0.529
Si6 0.164 0.201 0.471
Si7 0.836 0.529 0.799
Si8 0.164 0.471 0.201
Ru1 0.500 0.000 0.000
Ru2 0.000 0.784 0.216
Ru3 0.000 0.216 0.784